(1)
# Zr2VI

A relaxed structure of Zr2VI (GGA-PBE, the Alexandria database).

Calculated values
ΔE to the lowest computed polymorph = 0.000 eV per atom
Calculated density = 7.2 g/cm³
Volume = 83.33 Å³ per cell

Structure (CIF):
```
data_Zr2VI
_chemical_formula_sum 'Zr2 V1 I1'
_cell_length_a 4.903
_cell_length_b 4.903
_cell_length_c 4.903
_cell_angle_alpha 60.00
_cell_angle_beta 60.00
_cell_angle_gamma 60.00
_space_group_name_H-M_alt 'P 1'
_space_group_IT_number 1
loop_
_space_group_symop_operation_xyz
'x,y,z'
loop_
_atom_site_label
_atom_site_type_symbol
_atom_site_fract_x
_atom_site_fract_y
_atom_site_fract_z
Zr1 Zr 0.250 0.250 0.250
Zr2 Zr 0.750 0.750 0.750
V1 V 0.000 0.000 0.000
I1 I 0.500 0.500 0.500
```



(2)
# Zr2VI

A relaxed structure of Zr2VI (GGA-PBE, the Alexandria database).

Calculated values
ΔE to the lowest computed polymorph = 0.544 eV per atom
Calculated density = 5.1 g/cm³
Volume = 232.73 Å³ per cell

Structure (CIF):
```
data_Zr2VI
_chemical_formula_sum 'Zr4 V2 I2'
_cell_length_a 7.527
_cell_length_b 7.527
_cell_length_c 7.527
_cell_angle_alpha 131.72
_cell_angle_beta 131.72
_cell_angle_gamma 70.66
_space_group_name_H-M_alt 'P 1'
_space_group_IT_number 1
loop_
_space_group_symop_operation_xyz
'x,y,z'
loop_
_atom_site_label
_atom_site_type_symbol
_atom_site_fract_x
_atom_site_fract_y
_atom_site_fract_z
Zr1 Zr 0.031 0.625 0.906
Zr2 Zr 0.375 0.281 0.406
Zr3 Zr 0.719 0.125 0.094
Zr4 Zr 0.875 0.969 0.594
V1 V 0.000 0.000 0.000
V2 V 0.750 0.250 0.500
I1 I 0.250 0.750 0.500
I2 I 0.500 0.500 0.000
```



(3)
# WI

A relaxed structure of WI (GGA-PBE, the Alexandria database).

Calculated values
ΔE to the lowest computed polymorph = 0.210 eV per atom
Calculated density = 9.9 g/cm³
Volume = 157.14 Å³ per cell

Structure (CIF):
```
data_WI
_chemical_formula_sum 'W3 I3'
_cell_length_a 7.494
_cell_length_b 7.494
_cell_length_c 7.494
_cell_angle_alpha 152.09
_cell_angle_beta 61.42
_cell_angle_gamma 126.49
_space_group_name_H-M_alt 'P 1'
_space_group_IT_number 1
loop_
_space_group_symop_operation_xyz
'x,y,z'
loop_
_atom_site_label
_atom_site_type_symbol
_atom_site_fract_x
_atom_site_fract_y
_atom_site_fract_z
W1 W 0.000 0.000 0.000
W2 W 0.091 0.692 0.399
W3 W 0.293 0.692 0.601
I1 I 0.084 0.351 0.733
I2 I 0.552 0.052 0.500
I3 I 0.618 0.351 0.267
```



(4)
# WI

A relaxed structure of WI (GGA-PBE, the Alexandria database).

Calculated values
ΔE to the lowest computed polymorph = 0.493 eV per atom
Calculated density = 7.2 g/cm³
Volume = 428.92 Å³ per cell

Structure (CIF):
```
data_WI
_chemical_formula_sum 'W6 I6'
_cell_length_a 11.836
_cell_length_b 11.836
_cell_length_c 3.535
_cell_angle_alpha 90.00
_cell_angle_beta 90.00
_cell_angle_gamma 120.00
_space_group_name_H-M_alt 'P 1'
_space_group_IT_number 1
loop_
_space_group_symop_operation_xyz
'x,y,z'
loop_
_atom_site_label
_atom_site_type_symbol
_atom_site_fract_x
_atom_site_fract_y
_atom_site_fract_z
W1 W 0.018 0.439 0.250
W2 W 0.421 0.982 0.250
W3 W 0.439 0.421 0.750
W4 W 0.561 0.579 0.250
W5 W 0.579 0.018 0.750
W6 W 0.982 0.561 0.750
I1 I 0.220 0.442 0.750
I2 I 0.222 0.780 0.750
I3 I 0.442 0.222 0.250
I4 I 0.558 0.778 0.750
I5 I 0.778 0.220 0.250
I6 I 0.780 0.558 0.250
```



Repeat the second record exactly.
# Zr2VI

A relaxed structure of Zr2VI (GGA-PBE, the Alexandria database).

Calculated values
ΔE to the lowest computed polymorph = 0.544 eV per atom
Calculated density = 5.1 g/cm³
Volume = 232.73 Å³ per cell

Structure (CIF):
```
data_Zr2VI
_chemical_formula_sum 'Zr4 V2 I2'
_cell_length_a 7.527
_cell_length_b 7.527
_cell_length_c 7.527
_cell_angle_alpha 131.72
_cell_angle_beta 131.72
_cell_angle_gamma 70.66
_space_group_name_H-M_alt 'P 1'
_space_group_IT_number 1
loop_
_space_group_symop_operation_xyz
'x,y,z'
loop_
_atom_site_label
_atom_site_type_symbol
_atom_site_fract_x
_atom_site_fract_y
_atom_site_fract_z
Zr1 Zr 0.031 0.625 0.906
Zr2 Zr 0.375 0.281 0.406
Zr3 Zr 0.719 0.125 0.094
Zr4 Zr 0.875 0.969 0.594
V1 V 0.000 0.000 0.000
V2 V 0.750 0.250 0.500
I1 I 0.250 0.750 0.500
I2 I 0.500 0.500 0.000
```



Look up the ΔE to the lowest computed polymorph of the first one. 0.000 eV per atom